1.
An optimized crystal structure of Pm3Al5Pt6. Source: Alexandria, functional PBE.

Summary:
- VASP energy (eV/cell) = -167.60
- D(E_F) (states/eV/f.u.) = 8.2
- calculated volume (Å³/atom) = 19.31
- symmetry = No. 59
- magnetization (μB per formula unit) = 0.00
- ΔH_f (0 K) (meV per atom) = -1042

a b c (Å): 4.259 12.891 9.847
angles (deg): 90.00 90.00 90.00
Fractional coordinates of all 28 atoms:
Pm1 0.250 0.083 0.248
Pm2 0.250 0.417 0.248
Pm3 0.250 0.750 0.254
Pm4 0.750 0.250 0.746
Pm5 0.750 0.583 0.752
Pm6 0.750 0.917 0.752
Al1 0.250 0.080 0.643
Al2 0.250 0.420 0.643
Al3 0.250 0.634 0.983
Al4 0.250 0.750 0.629
Al5 0.250 0.866 0.983
Al6 0.750 0.134 0.017
Al7 0.750 0.250 0.371
Al8 0.750 0.366 0.017
Al9 0.750 0.580 0.357
Al10 0.750 0.920 0.357
Pt1 0.250 0.049 0.896
Pt2 0.250 0.250 0.003
Pt3 0.250 0.250 0.509
Pt4 0.250 0.451 0.896
Pt5 0.250 0.582 0.493
Pt6 0.250 0.918 0.493
Pt7 0.750 0.082 0.507
Pt8 0.750 0.418 0.507
Pt9 0.750 0.549 0.104
Pt10 0.750 0.750 0.491
Pt11 0.750 0.750 0.997
Pt12 0.750 0.951 0.104

---

2.
An optimized crystal structure of NbP3O. Source: Alexandria, functional PBE.

Summary:
- E_form (uncorrected) (meV per atom) = 222
- VASP energy (eV/cell) = -30.15
- D(E_F) (states/eV/f.u.) = 2.4
- calculated volume (Å³/atom) = 13.81
- symmetry = No. 221
- offset from the most stable computed form (meV per atom) = 0
- magnetization (μB per formula unit) = 0.02

a b c (Å): 4.102 4.102 4.102
angles (deg): 90.00 90.00 90.00
Fractional coordinates of all 5 atoms:
Nb1 0.000 0.000 0.000
P1 0.000 0.500 0.500
P2 0.500 0.000 0.500
P3 0.500 0.500 0.000
O1 0.500 0.500 0.500

---

3.
An optimized crystal structure of HoZrFeTc. Source: Alexandria, functional PBE.

Summary:
- VASP energy (eV/cell) = -128.24
- D(E_F) (states/eV/f.u.) = 5.3
- calculated volume (Å³/atom) = 18.20
- symmetry = No. 216
- magnetization (μB per formula unit) = 1.35
- ΔH_f (0 K) (meV per atom) = -26

a b c (Å): 6.629 6.629 6.629
angles (deg): 90.00 90.00 90.00
Fractional coordinates of all 16 atoms:
Ho1 0.000 0.000 0.000
Ho2 0.000 0.500 0.500
Ho3 0.500 0.000 0.500
Ho4 0.500 0.500 0.000
Zr1 0.000 0.000 0.500
Zr2 0.000 0.500 0.000
Zr3 0.500 0.000 0.000
Zr4 0.500 0.500 0.500
Fe1 0.250 0.250 0.250
Fe2 0.250 0.750 0.750
Fe3 0.750 0.250 0.750
Fe4 0.750 0.750 0.250
Tc1 0.250 0.250 0.750
Tc2 0.250 0.750 0.250
Tc3 0.750 0.250 0.250
Tc4 0.750 0.750 0.750